(1)
First-principles (GGA-PBE) data for a relaxed structure of Ta2Al2Os, as listed in Alexandria.

Results
Its raw total energy is -8.619 eV per atom. As for the space-group type: No. 127.

Unit cell a=6.4073 b=6.4073 c=3.9471 alpha=90.00 beta=90.00 gamma=90.00
With the nearest neighbours (Å) after each atom.
Positions (direct):
Al1 0.6380 0.1380 0.0000  2 Os 2.48, 1 Al 2.50, 2 Ta 2.65
Al2 0.1380 0.3620 0.0000  2 Os 2.48, 1 Al 2.50, 2 Ta 2.65
Al3 0.3620 0.8620 0.0000  2 Os 2.48, 1 Al 2.50, 2 Ta 2.65
Al4 0.8620 0.6380 0.0000  2 Os 2.48, 1 Al 2.50, 2 Ta 2.65
Ta1 0.8336 0.3336 0.5000  6 Al 2.65-2.78
Ta2 0.1664 0.6664 0.5000  6 Al 2.65-2.78
Ta3 0.3336 0.1664 0.5000  6 Al 2.65-2.78
Ta4 0.6664 0.8336 0.5000  6 Al 2.65-2.78
Os1 0.0000 0.0000 0.0000  4 Al 2.48
Os2 0.5000 0.5000 0.0000  4 Al 2.48


(2)
First-principles (GGA-PBE) data for a relaxed structure of Ce2AlGe6Ir, as listed in Alexandria.

Results
Its raw total energy is -5.547 eV per atom. As for the space-group type: No. 166.

Unit cell a=6.3387 b=6.3387 c=12.4936 alpha=75.30 beta=75.30 gamma=60.00
With the nearest neighbours (Å) after each atom.
Positions (direct):
Ce1 0.8803 0.8803 0.3590  12 Ge 3.21-3.49
Ce2 0.1197 0.1197 0.6410  12 Ge 3.21-3.49
Ce3 0.2960 0.2960 0.1120  9 Ge 3.18-3.24
Ce4 0.7040 0.7040 0.8880  9 Ge 3.18-3.24
Al1 0.5000 0.5000 0.5000  2 Ir 2.45, 6 Ge 2.59
Al2 0.0000 0.0000 0.0000  6 Ge 2.56
Ge1 0.6642 0.0591 0.6125  1 Ir 2.48, 2 Ge 2.50, 1 Al 2.59
Ge2 0.7687 0.7687 0.1249  1 Al 2.56, 1 Ir 2.57, 2 Ge 2.73
Ge3 0.0591 0.6642 0.6125  1 Ir 2.48, 2 Ge 2.50, 1 Al 2.59
Ge4 0.7687 0.3377 0.1249  1 Al 2.56, 1 Ir 2.57, 2 Ge 2.73
Ge5 0.3358 0.9409 0.3875  1 Ir 2.48, 2 Ge 2.50, 1 Al 2.59
Ge6 0.9409 0.3358 0.3875  1 Ir 2.48, 2 Ge 2.50, 1 Al 2.59
Ge7 0.3377 0.7687 0.1249  1 Al 2.56, 1 Ir 2.57, 2 Ge 2.73
Ge8 0.2313 0.6623 0.8751  1 Al 2.56, 1 Ir 2.57, 2 Ge 2.73
Ge9 0.6623 0.2313 0.8751  1 Al 2.56, 1 Ir 2.57, 2 Ge 2.73
Ge10 0.3358 0.3358 0.3875  1 Ir 2.48, 2 Ge 2.50, 1 Al 2.59
Ge11 0.6642 0.6642 0.6125  1 Ir 2.48, 2 Ge 2.50, 1 Al 2.59
Ge12 0.2313 0.2313 0.8751  1 Al 2.56, 1 Ir 2.57, 2 Ge 2.73
Ir1 0.5685 0.5685 0.2945  1 Al 2.45, 6 Ge 2.48-2.57
Ir2 0.4315 0.4315 0.7055  1 Al 2.45, 6 Ge 2.48-2.57


(3)
First-principles (GGA-PBE) data for a relaxed structure of ZnMoW2, as listed in Alexandria.

Results
Its raw total energy is -9.189 eV per atom. As for the space-group type: No. 139.

Unit cell a=4.9831 b=4.9831 c=4.9831 alpha=134.23 beta=134.23 gamma=66.73
With the nearest neighbours (Å) after each atom.
Positions (direct):
Mo1 0.7500 0.2500 0.5000  4 Zn 2.74, 8 W 2.84
Zn1 0.2500 0.7500 0.5000  4 Mo 2.74, 8 W 2.84
W1 0.0000 0.0000 0.0000  4 W 2.74, 4 Zn 2.84, 4 Mo 2.84
W2 0.5000 0.5000 0.0000  4 W 2.74, 4 Mo 2.84, 4 Zn 2.84


(4)
First-principles (GGA-PBE) data for a relaxed structure of CsSm2Th, as listed in Alexandria.

Results
Its raw total energy is -4.148 eV per atom. As for the space-group type: No. 166.

Unit cell a=3.6919 b=3.6919 c=13.3565 alpha=82.06 beta=82.06 gamma=60.00
With the nearest neighbours (Å) after each atom.
Positions (direct):
Cs1 0.0000 0.0000 0.0000  6 Cs 3.69, 2 Sm 3.80
Th1 0.5000 0.5000 0.5000  6 Sm 3.51, 6 Th 3.69
Sm1 0.9039 0.9039 0.2883  3 Th 3.51, 6 Sm 3.69, 1 Cs 3.80
Sm2 0.0961 0.0961 0.7117  3 Th 3.51, 6 Sm 3.69, 1 Cs 3.80


(5)
First-principles (GGA-PBE) data for a relaxed structure of PmLuGe2, as listed in Alexandria.

Results
Its raw total energy is -5.304 eV per atom. As for the space-group type: No. 166.

Unit cell a=4.6063 b=4.6063 c=5.9475 alpha=67.22 beta=67.22 gamma=60.00
With the nearest neighbours (Å) after each atom.
Positions (direct):
Ge1 0.2407 0.2407 0.2779  3 Lu 2.91, 3 Pm 3.04
Ge2 0.7593 0.7593 0.7221  3 Lu 2.91, 3 Pm 3.04
Pm1 0.0000 0.0000 0.0000  6 Ge 3.04
Lu1 0.5000 0.5000 0.5000  6 Ge 2.91


(6)
First-principles (GGA-PBE) data for a relaxed structure of MnZn2Br, as listed in Alexandria.

Results
The calculation puts the formation energy (no corrections) at 0.193 eV per atom. Its raw total energy is -3.155 eV per atom. As for the space-group type: No. 123.

Unit cell a=3.2356 b=3.2356 c=6.9698 alpha=90.00 beta=90.00 gamma=90.00
With the nearest neighbours (Å) after each atom.
Positions (direct):
Br1 0.5000 0.5000 0.2500  8 Zn 3.09, 4 Br 3.24
Mn1 0.5000 0.5000 0.7500  8 Zn 2.69
Zn1 0.0000 0.0000 0.9521  4 Mn 2.69, 1 Zn 2.82
Zn2 0.0000 0.0000 0.5479  4 Mn 2.69, 1 Zn 2.82


(7)
First-principles (GGA-PBE) data for a relaxed structure of Ce3AlGe6Pd2, as listed in Alexandria.

Results
Its raw total energy is -5.380 eV per atom. As for the space-group type: No. 164.

Unit cell a=5.9358 b=5.9358 c=8.2366 alpha=90.00 beta=90.00 gamma=120.00
With the nearest neighbours (Å) after each atom.
Positions (direct):
Ge1 0.1862 0.8138 0.2802  2 Ge 2.62, 1 Pd 2.63, 1 Al 2.63
Ge2 0.8138 0.6277 0.7198  2 Ge 2.62, 1 Pd 2.63, 1 Al 2.63
Ge3 0.3723 0.1862 0.7198  2 Ge 2.62, 1 Pd 2.63, 1 Al 2.63
Ge4 0.1862 0.3723 0.2802  2 Ge 2.62, 1 Pd 2.63, 1 Al 2.63
Ge5 0.8138 0.1862 0.7198  2 Ge 2.62, 1 Pd 2.63, 1 Al 2.63
Ge6 0.6277 0.8138 0.2802  2 Ge 2.62, 1 Pd 2.63, 1 Al 2.63
Ce1 0.3333 0.6667 0.6224  9 Ge 3.08-3.20, 1 Pd 3.27
Ce2 0.0000 0.0000 0.0000  6 Ge 3.00
Ce3 0.6667 0.3333 0.3776  9 Ge 3.08-3.20, 1 Pd 3.27
Pd1 0.3333 0.6667 0.0189  3 Ge 2.63
Pd2 0.6667 0.3333 0.9811  3 Ge 2.63
Al1 0.0000 0.0000 0.5000  6 Ge 2.63


(8)
First-principles (GGA-PBE) data for a relaxed structure of TmO, as listed in Alexandria.

Results
The calculation puts the formation energy (no corrections) at -2.794 eV per atom. Its raw total energy is -7.509 eV per atom. As for the space-group type: No. 194.

Unit cell a=3.9235 b=3.9243 c=4.7372 alpha=90.00 beta=90.00 gamma=119.91
With the nearest neighbours (Å) after each atom.
Positions (direct):
O1 0.3333 0.1668 0.7500  5 Tm 2.27-2.37
O2 0.6667 0.8332 0.2500  5 Tm 2.27-2.37
Tm1 0.6669 0.8330 0.7500  5 O 2.27-2.37
Tm2 0.3331 0.1670 0.2500  5 O 2.27-2.37